# NaNpUS4

An optimized crystal structure of NaNpUS4 (GGA-PBE, the Alexandria database).

## Properties
Total DFT energy (no corrections) (eV per cell): -103.2
Spin magnetization (μB/f.u.): 6.00
Volume (Å³/f.u.): 191.8

Lattice parameters (Å, degrees): 8.1446 8.1569 8.1639 120.03 90.00 119.95
Last column: nearest neighbours and their distance in Å.
Sites, in units of the cell vectors:
Na 0.8767 0.7534 0.1267  4 S 2.76-2.78
Na 0.1233 0.2466 0.8733  4 S 2.76-2.78
S 0.7404 0.0320 0.2660  1 U 2.71, 2 Np 2.75, 1 Na 2.76
S 0.7384 0.4769 0.7099  2 U 2.73, 1 Np 2.76, 1 Na 2.78
S 0.2616 0.5231 0.7330  2 U 2.73, 1 Np 2.76, 1 Na 2.78
S 0.7384 0.4769 0.2670  2 U 2.73, 1 Np 2.76, 1 Na 2.78
S 0.2616 0.5231 0.2901  2 U 2.73, 1 Np 2.76, 1 Na 2.78
S 0.7084 0.9680 0.7340  1 U 2.71, 2 Np 2.75, 1 Na 2.76
S 0.2916 0.0320 0.2660  1 U 2.71, 2 Np 2.75, 1 Na 2.76
S 0.2596 0.9680 0.7340  1 U 2.71, 2 Np 2.75, 1 Na 2.76
Np 0.5000 0.0000 0.5000  6 S 2.75-2.76
Np 0.5000 0.0000 0.0000  6 S 2.75-2.76
U 0.0000 0.5000 0.5000  6 S 2.71-2.73
U 0.5000 0.5000 0.5000  6 S 2.71-2.73